## Sc3AuO (PBEsol)

Data for Sc3AuO after structural relaxation.

It has space group Pm-3m (No. 221), with a = 4.321 Å, b = 4.321 Å, c = 4.321 Å, α = 90.00°, β = 90.00° and γ = 90.00°. The distinct sites, in fractional coordinates, are Sc at (0.000, 0.000, 0.500), Au at (0.500, 0.500, 0.500) and O at (0.000, 0.000, 0.000).

The calculation puts the spin magnetization at 0.00 μB/f.u. The value obtained for the uncorrected energy is -0.275 Ha/atom. The calculation puts the density of states at the Fermi level at 5.59 states/eV/cell. The value obtained for the density is 7.2 g cm⁻³. The formation energy without anion corrections is -1672 meV/atom.